Compound: BaNi2Pb
Source: the Alexandria database
Functional: PBE
Structure: optimized geometry

excess energy over the best structure of this formula in the dataset: 0.6515 eV/atom

Lattice parameters (Å, degrees): 7.231 7.231 7.231 90.00 90.00 90.00
Space group F-43m (No. 216)
Unique sites:
Ba 0.000 0.000 0.000 x4
Ni 0.000 0.000 0.500 x4
Ni 0.250 0.250 0.250 x4
Pb 0.250 0.250 0.750 x4

=====

Compound: Pr2SiO5
Source: the Alexandria database
Functional: PBE
Structure: optimized geometry

formation energy from raw total energies: -313 kJ/mol of atoms
excess energy over the best structure of this formula in the dataset: 0.0000 eV/atom

Lattice parameters (Å, degrees): 14.961 7.055 11.012 90.00 121.99 90.00
Space group C2/c (No. 15)
Unique sites:
Pr 0.037 0.248 0.463 x8
Pr 0.145 0.122 0.833 x8
Si 0.180 0.413 0.309 x8
O 0.017 0.091 0.896 x8
O 0.094 0.495 0.650 x8
O 0.119 0.220 0.315 x8
O 0.196 0.439 0.935 x8
O 0.207 0.140 0.671 x8

=====

Compound: Li2IrW
Source: the Alexandria database
Functional: PBE
Structure: optimized geometry

VASP energy: -25.3 eV/f.u.

Lattice parameters (Å, degrees): 2.727 4.016 5.629 90.00 90.00 90.00
Space group Pmm2 (No. 25)
Unique sites:
Li 0.000 0.000 0.000 x1
Li 0.500 0.500 0.213 x1
Ir 0.500 0.500 0.703 x1
W 0.000 0.000 0.527 x1